No. 1
First-principles (PBE-GGA) data for a relaxed Mg2CdNi crystal, as listed in Alexandria via LeMat-Bulk.

Lattice parameters (Å, degrees): 4.3303 4.3291 3.7421 90.00 90.00 90.00
With the nearest neighbours (Å) after each atom.
Positions (direct):
1 Ni 0.5000 0.0000 0.5000  8 Mg 2.86, 4 Cd 3.06
2 Mg 0.0000 0.0000 0.0000  4 Cd 2.86, 4 Ni 2.86, 4 Mg 3.06
3 Mg 0.5000 0.5000 0.0000  4 Ni 2.86, 4 Cd 2.86, 4 Mg 3.06
4 Cd 0.0000 0.5000 0.5000  8 Mg 2.86, 4 Ni 3.06

## Properties
Symmetry: P4/mmm (123)
Calculated density in g/cm³: 5.2
Energy in eV per atom: -2.5276

---

No. 2
First-principles (PBE-GGA) data for a relaxed Pa3ReN7 crystal, as listed in Alexandria via LeMat-Bulk.

Lattice parameters (Å, degrees): 6.5115 6.5115 7.4980 90.00 90.00 109.32
With the nearest neighbours (Å) after each atom.
Positions (direct):
1 Pa 0.4725 0.4725 0.5000  6 N 2.31-2.39
2 Pa 0.5275 0.5275 0.0000  6 N 2.31-2.39
3 Pa 0.5354 0.9999 0.2589  6 N 2.23-2.43
4 Pa 0.4646 0.0001 0.7589  6 N 2.23-2.43
5 Pa 0.9999 0.5354 0.7411  6 N 2.23-2.43
6 Pa 0.0001 0.4646 0.2411  6 N 2.23-2.43
7 Re 0.9794 0.9794 0.5000  4 N 1.89-1.99
8 Re 0.0206 0.0206 0.0000  4 N 1.89-1.99
9 N 0.6818 0.9348 0.5433  1 Re 1.89
10 N 0.3182 0.0652 0.0433  1 Re 1.89
11 N 0.9348 0.6818 0.4567  1 Re 1.89
12 N 0.0652 0.3182 0.9567  1 Re 1.89
13 N 0.0967 0.3501 0.5161  3 Pa 2.28-2.35, 1 Re 2.28
14 N 0.9033 0.6499 0.0161  3 Pa 2.28-2.35, 1 Re 2.28
15 N 0.3501 0.0967 0.4839  3 Pa 2.28-2.35, 1 Re 2.28
16 N 0.6499 0.9033 0.9839  3 Pa 2.28-2.35, 1 Re 2.28
17 N 0.3738 0.6262 0.2500  4 Pa 2.31
18 N 0.6262 0.3738 0.7500  4 Pa 2.31
19 N 0.6379 0.3621 0.2500  4 Pa 2.23-2.39
20 N 0.3621 0.6379 0.7500  4 Pa 2.23-2.39
21 N 0.9399 0.0601 0.2500  2 Re 1.99
22 N 0.0601 0.9399 0.7500  2 Re 1.99

## Properties
Symmetry: C222_1 (20)
Calculated density in g/cm³: 10.8
Energy in eV per atom: -10.1944

---

No. 3
First-principles (PBE-GGA) data for a relaxed LiRuCl2 crystal, as listed in Alexandria via LeMat-Bulk.

Lattice parameters (Å, degrees): 7.9232 7.9232 7.9232 155.55 156.21 34.37
With the nearest neighbours (Å) after each atom.
Positions (direct):
1 Cl 0.0117 0.0117 0.0000  4 Li 2.35
2 Cl 0.7562 0.2562 0.5000  4 Ru 2.45
3 Li 0.5226 0.5226 0.0000  4 Cl 2.35
4 Ru 0.2095 0.7095 0.5000  4 Cl 2.45

## Properties
Symmetry: Imm2 (44)
E above lowest polymorph in eV per atom: 0.160
Calculated density in g/cm³: 3.6

---

No. 4
First-principles (PBE-GGA) data for a relaxed Ba3Ac2HoTe6 crystal, as listed in Alexandria via LeMat-Bulk.

Lattice parameters (Å, degrees): 8.2229 8.2229 8.3877 99.45 99.45 119.93
With the nearest neighbours (Å) after each atom.
Positions (direct):
1 Ba 0.1725 0.8275 0.5000  6 Te 3.45-3.55
2 Ba 0.8275 0.1725 0.5000  6 Te 3.45-3.55
3 Ba 0.5000 0.5000 0.5000  6 Te 3.45-3.59
4 Ac 0.3346 0.6654 0.0000  6 Te 3.34-3.35
5 Ac 0.6654 0.3346 0.0000  6 Te 3.34-3.35
6 Ho 0.0000 0.0000 0.0000  6 Te 3.16-3.18
7 Te 0.9252 0.6086 0.7738  1 Ho 3.16, 2 Ac 3.34-3.35, 2 Ba 3.45
8 Te 0.7618 0.7618 0.2315  1 Ho 3.18, 2 Ac 3.35, 2 Ba 3.47
9 Te 0.0748 0.3914 0.2262  1 Ho 3.16, 2 Ac 3.34-3.35, 2 Ba 3.45
10 Te 0.6086 0.9252 0.7738  1 Ho 3.16, 2 Ac 3.34-3.35, 2 Ba 3.45
11 Te 0.2382 0.2382 0.7685  1 Ho 3.18, 2 Ac 3.35, 2 Ba 3.47
12 Te 0.3914 0.0748 0.2262  1 Ho 3.16, 2 Ac 3.34-3.35, 2 Ba 3.45

## Properties
Symmetry: C2/m (12)
Calculated density in g/cm³: 6.4
Energy in eV per atom: -4.6975